Entry 1:
First-principles (PBE) data for a geometry-optimized LiAgRu2 structure, as listed in Alexandria via LeMat-Bulk.

```
LiAgRu2
1.0
2.660 -0.032 0.000
-1.233 2.358 0.000
0.000 0.000 9.608
Li Ag Ru
1 1 2
direct
0.500 0.500 0.750 Li
0.500 0.500 0.250 Ag
0.000 0.000 0.511 Ru
0.000 0.000 0.989 Ru
```

Calculated values
Its total energy is -5.3953 eV per atom. The crystal system is orthorhombic.



Entry 2:
First-principles (PBE) data for a geometry-optimized Pm4Y5Tm2 structure, as listed in Alexandria via LeMat-Bulk.

```
Pm4Y5Tm2
1.0
3.506 0.000 0.000
0.000 8.970 0.283
-1.753 -2.157 11.705
Pm Tm Y
4 2 5
direct
0.025 0.686 0.051 Pm
0.629 0.534 0.259 Pm
0.975 0.314 0.949 Pm
0.371 0.466 0.741 Pm
0.899 0.799 0.798 Tm
0.101 0.201 0.202 Tm
0.768 0.677 0.535 Y
0.173 0.900 0.347 Y
0.232 0.323 0.465 Y
0.827 0.100 0.653 Y
0.500 0.000 0.000 Y
```

Calculated values
Its total energy is -5.2614 eV per atom. The crystal system is monoclinic.



| no. | polymorph energy (0 for the lowest one) (meV per atom) | energy relative to the elements (eV per formula unit) |
| --- | --- | --- |
| 1 | 259 | 1.736 |
| 2 | 118 | 2.390 |